## NdScSn2 (PBE-GGA)

Data for a relaxed structure of NdScSn2.

a b c (Å): 4.7818 4.7818 4.5014
angles (deg): 90.00 90.00 90.00
Fractional coordinates of all 4 atoms:
Nd 0.0000 0.0000 0.0000
Sc 0.5000 0.5000 0.0000
Sn 0.0000 0.5000 0.5000
Sn 0.5000 0.0000 0.5000

Summary:
DFT formation energy (meV/atom): -587
SG: P4/mmm
DOS(E_F) (states/eV/f.u.): 3.48